Record 1
The following is a DFT calculation (PBE) of crystalline NaMgBiTe3 at its relaxed geometry.

Cell lengths 4.5052, 9.3540, 10.2270 Å; angles 102.36, 90.00, 90.00 degrees
Element x y z (fractional)
Na 0.2500 0.1887 0.2183
Na 0.7500 0.8113 0.7817
Mg 0.2500 0.0881 0.6035
Mg 0.7500 0.9119 0.3965
Bi 0.2500 0.6660 0.1362
Bi 0.7500 0.3340 0.8638
Te 0.7500 0.8986 0.1213
Te 0.2500 0.1014 0.8787
Te 0.2500 0.7799 0.4874
Te 0.7500 0.2201 0.5126
Te 0.7500 0.4311 0.1635
Te 0.2500 0.5689 0.8365

SG: P2_1/m, No. 11
Theoretical density, Mg/m³: 5.04
Total magnetic moment, μB/cell: 0.00
E_form (uncorrected), eV per formula unit: -3.67

Record 2
The following is a DFT calculation (PBE) of crystalline TlTcMo at its relaxed geometry.

Cell lengths 7.8049, 3.1212, 9.5451 Å; angles 90.00, 103.53, 90.00 degrees
Element x y z (fractional)
Tl 0.0825 0.0000 0.2382
Tl 0.0825 0.5000 0.7382
Tl 0.3104 0.0000 0.5368
Tl 0.3104 0.5000 0.0368
Tc 0.8893 0.0000 0.4851
Tc 0.8893 0.5000 0.9851
Tc 0.7627 0.0000 0.7562
Tc 0.7627 0.5000 0.2562
Mo 0.5098 0.0000 0.2956
Mo 0.5098 0.5000 0.7956
Mo 0.6414 0.0000 0.0248
Mo 0.6414 0.5000 0.5248

SG: Cm, No. 8
Theoretical density, Mg/m³: 11.70
Total magnetic moment, μB/cell: 0.00
Energy relative to the lowest polymorph listed for this composition, eV per atom: 0.160
DFT formation energy, eV per atom: 0.455

Record 3
The following is a DFT calculation (PBE) of crystalline LaTb4Tm3Se8 at its relaxed geometry.

Cell lengths 8.1963, 8.1915, 8.1990 Å; angles 120.05, 119.99, 90.00 degrees
Element x y z (fractional)
La 0.0000 0.5000 0.0000
Tb 0.5000 0.0000 0.0000
Tb 0.5000 0.0000 0.5000
Tb 0.0000 0.0000 0.0000
Tb 0.0000 0.0000 0.5000
Tm 0.5000 0.5000 0.0000
Tm 0.5000 0.5000 0.5000
Tm 0.0000 0.5000 0.5000
Se 0.2554 0.7496 0.9943
Se 0.2554 0.7496 0.5107
Se 0.2527 0.2583 0.5055
Se 0.7389 0.7496 0.9943
Se 0.2611 0.2504 0.0057
Se 0.7473 0.7417 0.4945
Se 0.7446 0.2504 0.4893
Se 0.7446 0.2504 0.0057

SG: R-3m, No. 166
Theoretical density, Mg/m³: 8.17
Total magnetic moment, μB/cell: 0.00
E_form (uncorrected), eV per formula unit: -27.93

Record 4
The following is a DFT calculation (PBE) of crystalline Tb4CeSmTm2 at its relaxed geometry.

Cell lengths 5.0226, 5.0131, 11.2121 Å; angles 63.44, 90.00, 90.00 degrees
Last column: magnetic moment on the atom in μB.
Element x y z (fractional)
Tb 0.0000 0.7506 0.7480  0.03
Tb 0.0000 0.2494 0.2520  0.03
Tb 0.5000 0.7476 0.2525  0.03
Tb 0.5000 0.2524 0.7475  0.03
Ce 0.0000 0.5000 0.5000  0.76
Sm 0.5000 0.5000 0.0000  -0.04
Tm 0.0000 0.0000 0.0000  -0.07
Tm 0.5000 0.0000 0.5000  0.09

SG: P2/m, No. 10
Theoretical density, Mg/m³: 8.31
Total magnetic moment, μB/cell: 1.04
DFT formation energy, eV per atom: 0.046

Record 5
The following is a DFT calculation (PBE) of crystalline Nd2HgAu at its relaxed geometry.

Cell lengths 4.0954, 4.0954, 8.6565 Å; angles 76.32, 76.32, 60.00 degrees
Element x y z (fractional)
Nd 0.2566 0.2566 0.2302
Nd 0.7434 0.7434 0.7698
Au 0.0000 0.0000 0.0000
Hg 0.5000 0.5000 0.5000

SG: R-3m, No. 166
Theoretical density, Mg/m³: 9.42
Total magnetic moment, μB/cell: 0.00
Energy relative to the lowest polymorph listed for this composition, eV per atom: 0.138
DFT formation energy, eV per atom: -0.477

Record 6
The following is a DFT calculation (PBE) of crystalline Fe2Bi2Ru at its relaxed geometry.

Cell lengths 3.3682, 3.3682, 8.6688 Å; angles 78.80, 78.80, 90.00 degrees
Last column: magnetic moment on the atom in μB.
Element x y z (fractional)
Ru 0.0000 0.0000 0.0000  -0.17
Bi 0.3953 0.3953 0.2093  -0.02
Bi 0.6047 0.6047 0.7907  -0.02
Fe 0.7500 0.2500 0.5000  2.47
Fe 0.2500 0.7500 0.5000  2.47

SG: I4/mmm, No. 139
Theoretical density, Mg/m³: 11.08
Total magnetic moment, μB/cell: 4.80
DFT formation energy, eV per atom: 0.552

Record 7
The following is a DFT calculation (PBE) of crystalline Tl2Sb2Au at its relaxed geometry.

Cell lengths 7.6646, 7.6646, 5.2433 Å; angles 90.00, 90.00, 90.00 degrees
Element x y z (fractional)
Sb 0.1279 0.6279 0.5000
Sb 0.6279 0.8721 0.5000
Sb 0.8721 0.3721 0.5000
Sb 0.3721 0.1279 0.5000
Tl 0.3304 0.8304 0.0000
Tl 0.8304 0.6696 0.0000
Tl 0.6696 0.1696 0.0000
Tl 0.1696 0.3304 0.0000
Au 0.0000 0.0000 0.0000
Au 0.5000 0.5000 0.0000

SG: P4/mbm, No. 127
Theoretical density, Mg/m³: 9.16
Total magnetic moment, μB/cell: 0.00
Energy relative to the lowest polymorph listed for this composition, eV per atom: 0.265
E_form (uncorrected), eV per formula unit: 1.20

Record 8
The following is a DFT calculation (PBE) of crystalline Zn2Pt9W at its relaxed geometry.

Cell lengths 3.9521, 3.9521, 11.7781 Å; angles 90.00, 90.00, 90.00 degrees
Element x y z (fractional)
Zn 0.0000 0.0000 0.3398
Zn 0.0000 0.0000 0.6602
Pt 0.5000 0.5000 0.0000
Pt 0.5000 0.5000 0.3326
Pt 0.5000 0.5000 0.6674
Pt 0.5000 0.0000 0.1636
Pt 0.5000 0.0000 0.5000
Pt 0.5000 0.0000 0.8364
Pt 0.0000 0.5000 0.1636
Pt 0.0000 0.5000 0.5000
Pt 0.0000 0.5000 0.8364
W 0.0000 0.0000 0.0000

SG: P4/mmm, No. 123
Theoretical density, Mg/m³: 18.69
Total magnetic moment, μB/cell: 0.00
DFT formation energy, eV per atom: -0.352

Record 9
The following is a DFT calculation (PBE) of crystalline Be3GaNi4 at its relaxed geometry.

Cell lengths 3.8067, 3.8067, 6.6716 Å; angles 73.42, 73.42, 60.00 degrees
Element x y z (fractional)
Be 0.2471 0.2471 0.2586
Be 0.7529 0.7529 0.7414
Be 0.5000 0.5000 0.5000
Ga 0.0000 0.0000 0.0000
Ni 0.8716 0.8716 0.3851
Ni 0.3825 0.3825 0.8525
Ni 0.1284 0.1284 0.6149
Ni 0.6175 0.6175 0.1475

SG: R-3m, No. 166
Theoretical density, Mg/m³: 6.96
Total magnetic moment, μB/cell: 0.00
DFT formation energy, eV per atom: -0.402

Record 10
The following is a DFT calculation (PBE) of crystalline BaSiAsBr2 at its relaxed geometry.

Cell lengths 5.4226, 5.4226, 4.9272 Å; angles 90.00, 90.00, 90.00 degrees
Element x y z (fractional)
As 0.0000 0.0000 0.5000
Si 0.0000 0.0000 0.0000
Ba 0.5000 0.5000 0.5000
Br 0.0000 0.5000 0.0000
Br 0.5000 0.0000 0.0000

SG: P4/mmm, No. 123
Theoretical density, Mg/m³: 4.59
Total magnetic moment, μB/cell: 0.00
Energy relative to the lowest polymorph listed for this composition, eV per atom: 0.000
E_form (uncorrected), eV per formula unit: -3.40

Record 11
The following is a DFT calculation (PBE) of crystalline Cr2ReH2 at its relaxed geometry.

Cell lengths 2.7560, 2.7560, 6.1067 Å; angles 76.96, 76.96, 90.00 degrees
Element x y z (fractional)
Re 0.0000 0.0000 0.0000
H 0.7500 0.2500 0.5000
H 0.2500 0.7500 0.5000
Cr 0.3461 0.3461 0.3079
Cr 0.6539 0.6539 0.6921

SG: I4/mmm, No. 139
Theoretical density, Mg/m³: 11.04
Total magnetic moment, μB/cell: 0.00
Energy relative to the lowest polymorph listed for this composition, eV per atom: 0.000

Record 12
The following is a DFT calculation (PBE) of crystalline NaNbHg at its relaxed geometry.

Cell lengths 4.6667, 4.6667, 4.6667 Å; angles 60.00, 60.00, 60.00 degrees
Element x y z (fractional)
Na 0.2500 0.2500 0.2500
Nb 0.7500 0.7500 0.7500
Hg 0.0000 0.0000 0.0000

SG: F-43m, No. 216
Theoretical density, Mg/m³: 7.31
Total magnetic moment, μB/cell: 0.00
Energy relative to the lowest polymorph listed for this composition, eV per atom: 0.846
DFT formation energy, eV per atom: 0.946

Record 13
The following is a DFT calculation (PBE) of crystalline Ho5ScAs6 at its relaxed geometry.

Cell lengths 7.0432, 7.0463, 7.0441 Å; angles 59.99, 80.39, 70.50 degrees
Element x y z (fractional)
Sc 0.0000 0.0000 0.0000
As 0.7549 0.0815 0.3265
As 0.2451 0.5919 0.3265
As 0.2466 0.2441 0.0000
As 0.7534 0.7559 0.0000
As 0.7549 0.4081 0.6735
As 0.2451 0.9185 0.6735
Ho 0.5000 0.1683 0.6634
Ho 0.0000 0.3339 0.3323
Ho 0.5000 0.5000 0.0000
Ho 0.0000 0.6661 0.6677
Ho 0.5000 0.8317 0.3366

SG: C2/m, No. 12
Theoretical density, Mg/m³: 7.68
Total magnetic moment, μB/cell: 0.00
DFT formation energy, eV per atom: -1.494

Record 14
The following is a DFT calculation (PBE) of crystalline NaTl2SbF at its relaxed geometry.

Cell lengths 5.5215, 5.5215, 4.2987 Å; angles 90.00, 90.00, 90.00 degrees
Element x y z (fractional)
Sb 0.5000 0.5000 0.5000
Tl 0.0000 0.5000 0.0000
Tl 0.5000 0.0000 0.0000
F 0.0000 0.0000 0.0000
Na 0.0000 0.0000 0.5000

SG: P4/mmm, No. 123
Theoretical density, Mg/m³: 7.25
Total magnetic moment, μB/cell: 0.00
E_form (uncorrected), eV per formula unit: -4.21

Record 15
The following is a DFT calculation (PBE) of crystalline LiNd2PaS6 at its relaxed geometry.

Cell lengths 6.3139, 6.4695, 6.4695 Å; angles 90.00, 90.00, 90.00 degrees
Element x y z (fractional)
Li 0.5445 0.0000 0.0000
Nd 0.0012 0.5000 0.0000
Nd 0.0012 0.0000 0.5000
Pa 0.5978 0.5000 0.5000
S 0.7386 0.2405 0.2405
S 0.7386 0.2405 0.7595
S 0.1740 0.5000 0.5000
S 0.1735 0.0000 0.0000
S 0.7386 0.7595 0.7595
S 0.7386 0.7595 0.2405

SG: P4mm, No. 99
Theoretical density, Mg/m³: 4.52
Total magnetic moment, μB/cell: 0.00
E_form (uncorrected), eV per formula unit: -14.83

Record 16
The following is a DFT calculation (PBE) of crystalline Ba3Ga8Pb3 at its relaxed geometry.

Cell lengths 4.6657, 9.4889, 9.4889 Å; angles 68.76, 75.77, 75.77 degrees
Element x y z (fractional)
Ba 0.5000 0.5000 0.5000
Ba 0.8146 0.1854 0.1854
Ba 0.1854 0.8146 0.8146
Ga 0.6613 0.0802 0.5973
Ga 0.3387 0.9198 0.4027
Ga 0.6613 0.5973 0.0802
Ga 0.3387 0.4027 0.9198
Ga 0.8265 0.7999 0.5471
Ga 0.1735 0.2001 0.4529
Ga 0.8265 0.5471 0.7999
Ga 0.1735 0.4529 0.2001
Pb 0.5000 0.0000 0.0000
Pb 0.0000 0.7704 0.2296
Pb 0.0000 0.2296 0.7704

SG: Immm, No. 71
Theoretical density, Mg/m³: 7.07
Total magnetic moment, μB/cell: 0.00
DFT formation energy, eV per atom: -0.359

Record 17
The following is a DFT calculation (PBE) of crystalline CdGaHg3 at its relaxed geometry.

Cell lengths 5.5550, 5.5550, 5.5550 Å; angles 90.00, 90.00, 90.00 degrees
Element x y z (fractional)
Hg 0.0000 0.5000 0.0000
Hg 0.0000 0.0000 0.5000
Hg 0.5000 0.0000 0.0000
Ga 0.5000 0.5000 0.5000
Cd 0.0000 0.0000 0.0000

SG: Pm-3m, No. 221
Theoretical density, Mg/m³: 7.59
Total magnetic moment, μB/cell: 0.00
Energy relative to the lowest polymorph listed for this composition, eV per atom: 0.282
DFT formation energy, eV per atom: 0.324

Record 18
The following is a DFT calculation (PBE) of crystalline ReSi2Rh at its relaxed geometry.

Cell lengths 7.9831, 7.9831, 7.9831 Å; angles 20.50, 20.50, 20.50 degrees
Element x y z (fractional)
Re 0.2500 0.2500 0.2500
Rh 0.7500 0.7500 0.7500
Si 0.0018 0.0018 0.0018
Si 0.4982 0.4982 0.4982

SG: R-3m, No. 166
Theoretical density, Mg/m³: 10.49
Total magnetic moment, μB/cell: 0.00
Energy relative to the lowest polymorph listed for this composition, eV per atom: 0.124
E_form (uncorrected), eV per formula unit: -1.29

Record 19
The following is a DFT calculation (PBE) of crystalline PmFeAs at its relaxed geometry.

Cell lengths 4.0320, 4.0340, 8.1208 Å; angles 90.00, 119.78, 90.00 degrees
Element x y z (fractional)
Pm 0.4371 0.2500 0.6873
Pm 0.5629 0.7500 0.3127
As 0.9357 0.2500 0.1856
As 0.0643 0.7500 0.8144
Fe 0.2500 0.2500 0.0000
Fe 0.7500 0.7500 0.0000

SG: P4/nmm, No. 129
Theoretical density, Mg/m³: 7.99
Total magnetic moment, μB/cell: 0.00
Energy relative to the lowest polymorph listed for this composition, eV per atom: 0.000
DFT formation energy, eV per atom: -0.714

Record 20
The following is a DFT calculation (PBE) of crystalline Li2ZrCd2 at its relaxed geometry.

Cell lengths 3.7800, 3.7800, 7.5325 Å; angles 75.47, 75.47, 90.00 degrees
Element x y z (fractional)
Li 0.7500 0.2500 0.5000
Li 0.2500 0.7500 0.5000
Zr 0.0000 0.0000 0.0000
Cd 0.3939 0.3939 0.2122
Cd 0.6061 0.6061 0.7878

SG: I4/mmm, No. 139
Theoretical density, Mg/m³: 5.44
Total magnetic moment, μB/cell: 0.00
Energy relative to the lowest polymorph listed for this composition, eV per atom: 0.128
DFT formation energy, eV per atom: 0.021

Record 21
The following is a DFT calculation (PBE) of crystalline PrTi4S8 at its relaxed geometry.

Cell lengths 6.9108, 6.9108, 7.8507 Å; angles 63.89, 63.89, 60.00 degrees
Last column: magnetic moment on the atom in μB.
Element x y z (fractional)
Pr 0.5000 0.5000 0.5000  0.01
Ti 0.0000 0.5000 0.0000  0.13
Ti 0.5000 0.5000 0.0000  0.13
Ti 0.5000 0.0000 0.0000  0.13
Ti 0.0000 0.0000 0.0000  0.11
S 0.7458 0.2345 0.7853  0.00
S 0.7655 0.2542 0.2147  0.00
S 0.2542 0.7655 0.2147  0.00
S 0.7655 0.7655 0.2147  0.00
S 0.7355 0.7355 0.7935  0.00
S 0.2645 0.2645 0.2065  0.00
S 0.2345 0.2345 0.7853  0.00
S 0.2345 0.7458 0.7853  0.00

SG: R-3m, No. 166
Theoretical density, Mg/m³: 3.50
Total magnetic moment, μB/cell: 0.60
E_form (uncorrected), eV per formula unit: -19.52

Record 22
The following is a DFT calculation (PBE) of crystalline RbTcNiHg2 at its relaxed geometry.

Cell lengths 5.1920, 4.6065, 5.1920 Å; angles 90.00, 90.00, 90.00 degrees
Last column: magnetic moment on the atom in μB.
Element x y z (fractional)
Ni 0.0000 0.0000 0.0000  -0.06
Hg 0.0000 0.0000 0.5000  0.00
Hg 0.5000 0.0000 0.0000  0.00
Rb 0.5000 0.5000 0.5000  0.00
Tc 0.0000 0.5000 0.0000  -0.10

SG: P4/mmm, No. 123
Theoretical density, Mg/m³: 8.60
Total magnetic moment, μB/cell: 0.20
DFT formation energy, eV per atom: 0.757

Record 23
The following is a DFT calculation (PBE) of crystalline AcGd2Ge at its relaxed geometry.

Cell lengths 4.8919, 4.8910, 4.8910 Å; angles 90.00, 90.00, 90.00 degrees
Last column: magnetic moment on the atom in μB.
Element x y z (fractional)
Ac 0.5000 0.5000 0.5000  0.09
Gd 0.0000 0.0000 0.5000  7.25
Gd 0.0000 0.5000 0.0000  7.25
Ge 0.5000 0.0000 0.0000  -0.05

SG: P4/mmm, No. 123
Theoretical density, Mg/m³: 8.71
Total magnetic moment, μB/cell: 15.16
Energy relative to the lowest polymorph listed for this composition, eV per atom: 0.071
DFT formation energy, eV per atom: -0.265

Record 24
The following is a DFT calculation (PBE) of crystalline ZnFeCoW at its relaxed geometry.

Cell lengths 4.1387, 4.1387, 4.1387 Å; angles 60.00, 60.00, 60.00 degrees
Last column: magnetic moment on the atom in μB.
Element x y z (fractional)
Zn 0.0000 0.0000 0.0000  -0.02
Co 0.7500 0.7500 0.7500  0.57
Fe 0.2500 0.2500 0.2500  0.57
W 0.5000 0.5000 0.5000  -0.07

SG: F-43m, No. 216
Theoretical density, Mg/m³: 12.06
Total magnetic moment, μB/cell: 1.02
DFT formation energy, eV per atom: 0.056

Record 25
The following is a DFT calculation (PBE) of crystalline LiAcSb3 at its relaxed geometry.

Cell lengths 5.1820, 5.1820, 5.1820 Å; angles 90.00, 90.00, 90.00 degrees
Element x y z (fractional)
Sb 0.0000 0.5000 0.0000
Sb 0.0000 0.0000 0.5000
Sb 0.5000 0.0000 0.0000
Ac 0.5000 0.5000 0.5000
Li 0.0000 0.0000 0.0000

SG: Pm-3m, No. 221
Theoretical density, Mg/m³: 7.15
Total magnetic moment, μB/cell: 0.00
E_form (uncorrected), eV per formula unit: -1.89